1.
First-principles (PBE-GGA) data for a relaxed TmGa2Pd3 crystal, as listed in the Alexandria database.

Cell: 4.400 4.400 12.256 Å, 90.00 90.00 120.00°
Fractional coordinates of all 12 atoms:
Pd 0.000 0.000 0.500
Pd 0.333 0.667 0.128
Pd 0.667 0.333 0.872
Pd 0.000 0.000 0.000
Pd 0.667 0.333 0.628
Pd 0.333 0.667 0.372
Tm 0.000 0.000 0.750
Tm 0.000 0.000 0.250
Ga 0.667 0.333 0.087
Ga 0.667 0.333 0.413
Ga 0.333 0.667 0.587
Ga 0.333 0.667 0.913

Output
density	10145	kg/m3
formation energy	-5.02	eV per formula unit



2.
First-principles (PBE-GGA) data for a relaxed PuCuRh4 crystal, as listed in the Alexandria database.

Cell: 3.873 6.725 7.485 Å, 90.00 90.00 90.00°
Fractional coordinates of all 12 atoms:
Rh 0.000 0.000 0.500
Rh 0.500 0.302 0.528
Rh 0.000 0.000 0.000
Rh 0.500 0.037 0.250
Rh 0.500 0.698 0.472
Rh 0.500 0.698 0.028
Rh 0.500 0.302 0.972
Rh 0.500 0.963 0.750
Pu 0.000 0.645 0.750
Pu 0.000 0.355 0.250
Cu 0.000 0.758 0.250
Cu 0.000 0.242 0.750

Output
density	12251	kg/m3
formation energy	-0.48	eV per formula unit
distance to the lowest polymorph of the same formula	0.048	eV per atom



3.
First-principles (PBE-GGA) data for a relaxed Pa2CdSb crystal, as listed in the Alexandria database.

Cell: 3.512 3.512 8.303 Å, 90.00 90.00 90.00°
Fractional coordinates of all 4 atoms:
Cd 0.500 0.500 0.500
Pa 0.000 0.000 0.236
Pa 0.000 0.000 0.764
Sb 0.500 0.500 0.000

Output
density	11288	kg/m3
formation energy without anion corrections	-4	kJ/mol of formula units
distance to the lowest polymorph of the same formula	0.054	eV per atom



4.
First-principles (PBE-GGA) data for a relaxed SrP2Pd7Pb2 crystal, as listed in the Alexandria database.

Cell: 4.533 4.533 11.660 Å, 89.06 89.06 85.68°
Fractional coordinates of all 12 atoms:
Pd 0.500 0.500 0.000
Pd 0.864 0.349 0.241
Pd 0.627 0.627 0.605
Pd 0.373 0.373 0.395
Pd 0.651 0.136 0.759
Pd 0.349 0.864 0.241
Pd 0.136 0.651 0.759
P 0.637 0.637 0.818
P 0.363 0.363 0.182
Sr 0.000 0.000 0.000
Pb 0.838 0.838 0.397
Pb 0.162 0.162 0.603

Output
density	9100	kg/m3
formation energy	-5.84	eV per formula unit



5.
First-principles (PBE-GGA) data for a relaxed CaNd3Co crystal, as listed in the Alexandria database.

Cell: 5.500 5.500 5.500 Å, 90.00 90.00 90.00°
Fractional coordinates of all 5 atoms:
Co 0.000 0.000 0.000
Nd 0.000 0.000 0.500
Nd 0.500 0.000 0.000
Nd 0.000 0.500 0.000
Ca 0.500 0.500 0.500

Output
density	5309	kg/m3
formation energy	0.10	eV per formula unit
distance to the lowest polymorph of the same formula	0.021	eV per atom



6.
First-principles (PBE-GGA) data for a relaxed KPPtS2 crystal, as listed in the Alexandria database.

Cell: 5.252 5.252 5.214 Å, 90.00 90.00 90.00°
Fractional coordinates of all 5 atoms:
K 0.000 0.000 0.000
Pt 0.500 0.500 0.500
S 0.000 0.500 0.000
S 0.500 0.000 0.000
P 0.000 0.000 0.500

Output
density	3801	kg/m3
formation energy without anion corrections	997	kJ/mol of formula units
distance to the lowest polymorph of the same formula	2.036	eV per atom



7.
First-principles (PBE-GGA) data for a relaxed Er6Tm2Sc crystal, as listed in the Alexandria database.

Cell: 4.903 6.021 27.168 Å, 148.27 90.00 114.03°
Fractional coordinates of all 9 atoms:
Er 0.223 0.447 0.445
Er 0.551 0.102 0.109
Er 0.449 0.898 0.891
Er 0.897 0.794 0.780
Er 0.103 0.206 0.220
Er 0.777 0.553 0.555
Tm 0.341 0.681 0.670
Tm 0.659 0.319 0.330
Sc 0.000 0.000 0.000

Output
density	8622	kg/m3
formation energy	0.31	eV per formula unit
distance to the lowest polymorph of the same formula	0.000	eV per atom



8.
First-principles (PBE-GGA) data for a relaxed CdFeCu2 crystal, as listed in the Alexandria database.

Cell: 3.714 3.714 9.441 Å, 78.65 78.65 90.00°
Fractional coordinates of all 8 atoms:
Fe 0.250 0.750 0.500
Fe 0.500 0.500 0.000
Cd 0.000 0.000 0.000
Cd 0.750 0.250 0.500
Cu 0.607 0.125 0.250
Cu 0.143 0.625 0.250
Cu 0.375 0.393 0.750
Cu 0.875 0.857 0.750

Output
density	7840	kg/m3
formation energy	2.19	eV per formula unit



9.
First-principles (PBE-GGA) data for a relaxed Ac7Ga2Ir2 crystal, as listed in the Alexandria database.

Cell: 7.391 7.532 7.391 Å, 89.99 109.36 90.01°
Fractional coordinates of all 11 atoms:
Ac 0.500 0.258 0.000
Ac 0.000 0.000 0.000
Ac 0.500 0.256 0.500
Ac 0.500 0.744 0.500
Ac 0.000 0.742 0.500
Ac 0.000 0.258 0.500
Ac 0.500 0.742 0.000
Ir 0.297 0.000 0.703
Ir 0.703 0.000 0.297
Ga 0.153 0.500 0.153
Ga 0.847 0.500 0.847

Output
density	9040	kg/m3
formation energy	-4.12	eV per formula unit
distance to the lowest polymorph of the same formula	0.048	eV per atom



10.
First-principles (PBE-GGA) data for a relaxed PuAlZn17 crystal, as listed in the Alexandria database.

Cell: 6.831 6.831 6.831 Å, 81.32 81.32 81.32°
Fractional coordinates of all 19 atoms:
Zn 0.494 0.980 0.980
Zn 0.095 0.095 0.095
Zn 0.666 0.014 0.306
Zn 0.899 0.899 0.899
Zn 0.306 0.666 0.014
Zn 0.659 0.163 0.659
Zn 0.342 0.842 0.342
Zn 0.842 0.342 0.342
Zn 0.163 0.659 0.659
Zn 0.659 0.659 0.163
Zn 0.342 0.342 0.842
Zn 0.980 0.980 0.494
Zn 0.980 0.494 0.980
Zn 0.666 0.306 0.014
Zn 0.014 0.306 0.666
Zn 0.306 0.014 0.666
Zn 0.014 0.666 0.306
Pu 0.660 0.660 0.660
Al 0.414 0.414 0.414

Output
density	7437	kg/m3
formation energy	-0.79	eV per formula unit



11.
First-principles (PBE-GGA) data for a relaxed NdGdTe crystal, as listed in the Alexandria database.

Cell: 3.960 3.960 6.532 Å, 107.65 107.65 90.00°
Fractional coordinates of all 3 atoms:
Te 0.611 0.611 0.222
Nd 0.272 0.272 0.544
Gd 0.967 0.967 0.934

Output
density	7699	kg/m3
formation energy without anion corrections	-231	kJ/mol of formula units
distance to the lowest polymorph of the same formula	0.000	eV per atom



12.
First-principles (PBE-GGA) data for a relaxed ZrMnAlCr2 crystal, as listed in the Alexandria database.

Cell: 4.536 4.722 4.536 Å, 90.00 90.00 90.00°
Fractional coordinates of all 5 atoms:
Al 0.500 0.500 0.500
Cr 0.000 0.000 0.500
Cr 0.500 0.000 0.000
Mn 0.000 0.500 0.000
Zr 0.000 0.000 0.000

Output
density	4736	kg/m3
formation energy	8.74	eV per formula unit



Copy entry 8 word for word.
First-principles (PBE-GGA) data for a relaxed CdFeCu2 crystal, as listed in the Alexandria database.

Cell: 3.714 3.714 9.441 Å, 78.65 78.65 90.00°
Fractional coordinates of all 8 atoms:
Fe 0.250 0.750 0.500
Fe 0.500 0.500 0.000
Cd 0.000 0.000 0.000
Cd 0.750 0.250 0.500
Cu 0.607 0.125 0.250
Cu 0.143 0.625 0.250
Cu 0.375 0.393 0.750
Cu 0.875 0.857 0.750

Output
density	7840	kg/m3
formation energy	2.19	eV per formula unit



Copy entry 11 word for word.
First-principles (PBE-GGA) data for a relaxed NdGdTe crystal, as listed in the Alexandria database.

Cell: 3.960 3.960 6.532 Å, 107.65 107.65 90.00°
Fractional coordinates of all 3 atoms:
Te 0.611 0.611 0.222
Nd 0.272 0.272 0.544
Gd 0.967 0.967 0.934

Output
density	7699	kg/m3
formation energy without anion corrections	-231	kJ/mol of formula units
distance to the lowest polymorph of the same formula	0.000	eV per atom